Material: MoN2O2
Method: DFT, PBE+U
State: relaxed

Energy above the most stable polymorph in this dataset, eV per atom: 0.507
E_tot, eV/atom: -5.921
Volume, Å³/f.u.: 45.43
Total moment, Bohr magnetons per cell: 0.00

Cell lengths 5.1755, 5.1755, 3.3919 Å; angles 90.00, 90.00, 90.00 degrees
Space group P4/mbm (No. 127)
One atom of each set of equivalent atoms:
Mo1 0.0000 0.0000 0.0000 x2
N1 0.0797 0.4203 0.0000 x4
O1 0.2319 0.7319 0.5000 x4